w | The following is a PBE calculation of a relaxed structure of CsZn2Ge2, from the Alexandria database.

Crystal system: tetragonal
Density (g/cm3): 5.39
DOS at the Fermi energy (states/eV per atom): 0.41

a = 4.570 Å, b = 4.570 Å, c = 12.062 Å
α = 90.00°, β = 90.00°, γ = 90.00°
Space group I4/mmm (No. 139)
Symmetry-distinct sites (fractional):
Cs  0.000  0.000  0.000 x2
Zn  0.000  0.000  0.368 x4
Ge  0.000  0.500  0.250 x4


x | The following is a PBE calculation of a relaxed structure of CsZn2Ge2, from the Alexandria database.

Crystal system: tetragonal
Density (g/cm3): 5.64
DOS at the Fermi energy (states/eV per atom): 0.47

a = 4.696 Å, b = 4.696 Å, c = 10.913 Å
α = 90.00°, β = 90.00°, γ = 90.00°
Space group I4/mmm (No. 139)
Symmetry-distinct sites (fractional):
Cs  0.000  0.000  0.000 x2
Zn  0.000  0.500  0.250 x4
Ge  0.000  0.000  0.375 x4


y | The following is a PBE calculation of a relaxed structure of CsZn2Ge2, from the Alexandria database.

Crystal system: tetragonal
Density (g/cm3): 5.55
DOS at the Fermi energy (states/eV per atom): 0.32

a = 8.820 Å, b = 8.820 Å, c = 3.148 Å
α = 90.00°, β = 90.00°, γ = 90.00°
Space group P4/mbm (No. 127)
Symmetry-distinct sites (fractional):
Cs  0.000  0.000  0.000 x2
Zn  0.117  0.383  0.000 x4
Ge  0.142  0.642  0.500 x4


Stability verdict: x, ahead by 6.6 kJ/mol of atoms


w | The following is a PBE calculation of a relaxed structure of CsZrGe3, from the Alexandria database.

Crystal system: cubic
Density (g/cm3): 4.81
DOS at the Fermi energy (states/eV per atom): 0.56

a = 5.345 Å, b = 5.345 Å, c = 5.345 Å
α = 90.00°, β = 90.00°, γ = 90.00°
Space group Pm-3m (No. 221)
Symmetry-distinct sites (fractional):
Cs  0.000  0.000  0.000 x1
Zr  0.500  0.500  0.500 x1
Ge  0.000  0.500  0.500 x3


x | The following is a PBE calculation of a relaxed structure of CsZrGe3, from the Alexandria database.

Crystal system: cubic
Density (g/cm3): 4.66
DOS at the Fermi energy (states/eV per atom): 0.58

a = 5.402 Å, b = 5.402 Å, c = 5.402 Å
α = 90.00°, β = 90.00°, γ = 90.00°
Space group Pm-3m (No. 221)
Symmetry-distinct sites (fractional):
Cs  0.000  0.000  0.000 x1
Zr  0.500  0.500  0.500 x1
Ge  0.000  0.000  0.500 x3


Stability verdict: w, ahead by 178.8 kJ/mol of atoms


w | The following is a PBE calculation of a relaxed structure of CsZrGe2, from the Alexandria database.

Crystal system: cubic
Density (g/cm3): 5.95
DOS at the Fermi energy (states/eV per atom): 1.05

a = 7.444 Å, b = 7.444 Å, c = 7.444 Å
α = 90.00°, β = 90.00°, γ = 90.00°
Space group Fm-3m (No. 225)
Symmetry-distinct sites (fractional):
Cs  0.000  0.000  0.000 x4
Zr  0.000  0.000  0.500 x4
Ge  0.250  0.250  0.250 x8


x | The following is a PBE calculation of a relaxed structure of CsZrGe2, from the Alexandria database.

Crystal system: tetragonal
Density (g/cm3): 3.74
DOS at the Fermi energy (states/eV per atom): 0.50

a = 6.158 Å, b = 6.158 Å, c = 17.309 Å
α = 90.00°, β = 90.00°, γ = 90.00°
Space group I4_1/amd (No. 141, origin choice 2)
Symmetry-distinct sites (fractional):
Cs  0.000  0.250  0.375 x4
Zr  0.000  0.250  0.875 x4
Ge  0.000  0.000  0.000 x8


Stability verdict: x, ahead by 39.4 kJ/mol of atoms


w | The following is a PBE calculation of a relaxed structure of CsH2, from the Alexandria database.

Crystal system: triclinic
Density (g/cm3): 2.90
DOS at the Fermi energy (states/eV per atom): 0.00

a = 4.754 Å, b = 4.758 Å, c = 7.863 Å
α = 86.47°, β = 88.50°, γ = 60.34°
Space group P1 (No. 1)
Symmetry-distinct sites (fractional):
Cs  0.000  0.000  0.000 x1
Cs  0.325  0.390  0.542 x1
H  0.639  0.709  0.262 x1
H  0.664  0.680  0.825 x1
H  0.751  0.525  0.284 x1
H  0.993  0.072  0.372 x1


x | The following is a PBE calculation of a relaxed structure of CsH2, from the Alexandria database.

Crystal system: monoclinic
Density (g/cm3): 3.03
DOS at the Fermi energy (states/eV per atom): 0.00

a = 8.293 Å, b = 5.698 Å, c = 6.282 Å
α = 90.00°, β = 94.12°, γ = 90.00°
Space group Cm (No. 8)
Symmetry-distinct sites (fractional):
Cs  0.000  0.000  0.000 x2
Cs  0.156  0.500  0.491 x2
H  0.024  0.000  0.499 x2
H  0.132  0.500  0.992 x2
H  0.293  0.000  0.711 x2
H  0.369  0.000  0.788 x2


y | The following is a PBE calculation of a relaxed structure of CsH2, from the Alexandria database.

Crystal system: orthorhombic
Density (g/cm3): 3.91
DOS at the Fermi energy (states/eV per atom): 0.17

a = 3.521 Å, b = 3.996 Å, c = 16.285 Å
α = 90.00°, β = 90.00°, γ = 90.00°
Space group Imma (No. 74)
Symmetry-distinct sites (fractional):
Cs  0.000  0.250  0.118 x4
H  0.000  0.250  0.522 x4
H  0.000  0.250  0.746 x4


Stability verdict: x, ahead by 1.3 kJ/mol of atoms